No. 1
VASP calculation (PBE-GGA) on crystalline Li3HfZr at its relaxed geometry.

## Properties
Energy above the most stable polymorph in this dataset, meV/atom: 0
Calculated volume, Å³ per cell: 104.4
Final energy, eV for the cell shown: -17.4
Space group: Pm-3m (221)
Density of states at the Fermi level, states/eV/f.u.: 6.34

Structure (POSCAR):
```
Li3HfZr
1.0
4.709 0.000 0.000
0.000 4.709 0.000
0.000 0.000 4.709
Li Zr Hf
3 1 1
Direct
0.000 0.500 0.000
0.500 0.000 0.000
0.000 0.000 0.500
0.500 0.500 0.500
0.000 0.000 0.000
```

No. 2
VASP calculation (PBE-GGA) on crystalline LiHfZr at its relaxed geometry.

## Properties
Energy above the most stable polymorph in this dataset, meV/atom: 56
Calculated volume, Å³ per cell: 67.5
Final energy, eV for the cell shown: -19.9
Space group: P3m1 (156)
Density of states at the Fermi level, states/eV/f.u.: 2.90

Structure (POSCAR):
```
LiHfZr
1.0
3.150 0.000 0.000
-1.575 2.728 0.000
0.000 0.000 7.851
Zr Hf Li
1 1 1
Direct
0.333 0.667 0.654
0.667 0.333 0.343
0.000 0.000 0.003
```

No. 3
VASP calculation (PBE-GGA) on crystalline LiHfZr at its relaxed geometry.

## Properties
Energy above the most stable polymorph in this dataset, meV/atom: 0
Calculated volume, Å³ per cell: 129.8
Final energy, eV for the cell shown: -40.1
Space group: P4/nmm (129)
Density of states at the Fermi level, states/eV/f.u.: 3.72

Structure (POSCAR):
```
LiHfZr
1.0
-0.699 -2.057 -2.250
-1.327 -1.874 2.125
-11.644 6.062 -1.925
Li Hf Zr
2 2 2
Direct
0.000 0.500 0.930
0.500 0.000 0.070
0.500 0.000 0.755
0.000 0.500 0.245
0.000 0.500 0.591
0.500 0.000 0.409
```

No. 4
VASP calculation (PBE-GGA) on crystalline Li2HfZr2 at its relaxed geometry.

## Properties
Energy above the most stable polymorph in this dataset, meV/atom: 122
Calculated volume, Å³ per cell: 97.4
Final energy, eV for the cell shown: -28.7
Space group: I4/mmm (139)
Density of states at the Fermi level, states/eV/f.u.: 1.29

Structure (POSCAR):
```
Li2HfZr2
1.0
-0.305 -3.503 -2.880
4.213 -1.288 1.121
0.212 -5.085 2.575
Zr Li Hf
2 2 1
Direct
0.750 0.250 0.500
0.250 0.750 0.500
0.403 0.403 0.194
0.597 0.597 0.806
0.000 0.000 0.000
```

Repeat the first record exactly.
VASP calculation (PBE-GGA) on crystalline Li3HfZr at its relaxed geometry.

## Properties
Energy above the most stable polymorph in this dataset, meV/atom: 0
Calculated volume, Å³ per cell: 104.4
Final energy, eV for the cell shown: -17.4
Space group: Pm-3m (221)
Density of states at the Fermi level, states/eV/f.u.: 6.34

Structure (POSCAR):
```
Li3HfZr
1.0
4.709 0.000 0.000
0.000 4.709 0.000
0.000 0.000 4.709
Li Zr Hf
3 1 1
Direct
0.000 0.500 0.000
0.500 0.000 0.000
0.000 0.000 0.500
0.500 0.500 0.500
0.000 0.000 0.000
```